DFT (PBE-GGA) results for a relaxed structure of Dy4Ga16Co3.

The magnetization is 0.0 μB per formula unit. Its crystal system is tetragonal. Its symmetry is P4/mmm, No. 123.

Cell and atoms, written as CIF:
```
data_Dy4Ga16Co3
_chemical_formula_sum 'Dy4 Ga16 Co3'
_cell_length_a 6.012
_cell_length_b 6.012
_cell_length_c 11.077
_cell_angle_alpha 90.00
_cell_angle_beta 90.00
_cell_angle_gamma 90.00
_symmetry_space_group_name_H-M 'P 1'
_symmetry_Int_Tables_number 1
loop_
_symmetry_equiv_pos_as_xyz
'x,y,z'
loop_
_atom_site_label
_atom_site_type_symbol
_atom_site_fract_x
_atom_site_fract_y
_atom_site_fract_z
Ga1 Ga 0.750 0.250 0.616
Ga2 Ga 0.720 0.720 0.000
Ga3 Ga 0.280 0.720 0.000
Ga4 Ga 0.250 0.750 0.616
Ga5 Ga 0.250 0.250 0.384
Ga6 Ga 0.250 0.750 0.384
Ga7 Ga 0.250 0.250 0.616
Ga8 Ga 0.750 0.250 0.384
Ga9 Ga 0.280 0.280 0.000
Ga10 Ga 0.720 0.280 0.000
Ga11 Ga 0.500 0.500 0.804
Ga12 Ga 0.750 0.750 0.616
Ga13 Ga 0.500 0.500 0.196
Ga14 Ga 0.000 0.000 0.782
Ga15 Ga 0.750 0.750 0.384
Ga16 Ga 0.000 0.000 0.218
Dy1 Dy 0.500 0.000 0.805
Dy2 Dy 0.000 0.500 0.195
Dy3 Dy 0.000 0.500 0.805
Dy4 Dy 0.500 0.000 0.195
Co1 Co 0.500 0.000 0.500
Co2 Co 0.000 0.500 0.500
Co3 Co 0.000 0.000 0.000
```



DFT (PBE-GGA) results for a relaxed structure of Dy6GaCo2.

The magnetization is 0.0 μB per formula unit. Its crystal system is orthorhombic. Its symmetry is Immm, No. 71.

Cell and atoms, written as CIF:
```
data_Dy6GaCo2
_chemical_formula_sum 'Dy12 Ga2 Co4'
_cell_length_a 8.256
_cell_length_b 8.256
_cell_length_c 8.256
_cell_angle_alpha 112.02
_cell_angle_beta 109.49
_cell_angle_gamma 106.95
_symmetry_space_group_name_H-M 'P 1'
_symmetry_Int_Tables_number 1
loop_
_symmetry_equiv_pos_as_xyz
'x,y,z'
loop_
_atom_site_label
_atom_site_type_symbol
_atom_site_fract_x
_atom_site_fract_y
_atom_site_fract_z
Co1 Co 0.115 0.615 0.500
Co2 Co 0.885 0.385 0.500
Co3 Co 0.664 0.000 0.664
Co4 Co 0.336 0.000 0.336
Dy1 Dy 0.564 0.761 0.803
Dy2 Dy 0.042 0.239 0.803
Dy3 Dy 0.181 0.720 0.900
Dy4 Dy 0.819 0.280 0.100
Dy5 Dy 0.436 0.239 0.197
Dy6 Dy 0.326 0.014 0.688
Dy7 Dy 0.181 0.280 0.461
Dy8 Dy 0.326 0.638 0.312
Dy9 Dy 0.674 0.362 0.688
Dy10 Dy 0.819 0.720 0.539
Dy11 Dy 0.674 0.986 0.312
Dy12 Dy 0.958 0.761 0.197
Ga1 Ga 0.500 0.500 0.000
Ga2 Ga 0.000 0.000 0.000
```



Calculated E (eV/atom), listed in the same order as above: -4.348 -5.275